No. 1
Er5Pb6: optimized geometry, GGA-PBE.

Summary:
DOS(E_F): 6.6 states/eV/f.u.
Energy: -4.40 eV/atom
E_form: -308 meV/atom
Space group: C2/m

Cell lengths 8.0232, 8.0232, 7.7399 Å; angles 94.45, 94.45, 137.20 degrees
Sites, in units of the cell vectors:
1 Er 0.0000 0.0000 0.0000
2 Er 0.3291 0.6709 0.0000
3 Er 0.3372 0.6628 0.5000
4 Er 0.6628 0.3372 0.5000
5 Er 0.6709 0.3291 0.0000
6 Pb 0.1540 0.8348 0.2648
7 Pb 0.1652 0.8460 0.7352
8 Pb 0.4540 0.4540 0.7457
9 Pb 0.5460 0.5460 0.2543
10 Pb 0.8348 0.1540 0.2648
11 Pb 0.8460 0.1652 0.7352


No. 2
Tb2HfRu3: optimized geometry, GGA-PBE.

Summary:
DOS(E_F): 3.8 states/eV/f.u.
Energy: -8.30 eV/atom
E_form: -464 meV/atom
Space group: Cmmm

Cell lengths 7.4711, 7.4711, 6.7518 Å; angles 90.00, 90.00, 143.10 degrees
Sites, in units of the cell vectors:
1 Tb 0.0000 0.0000 0.0000
2 Tb 0.0000 0.0000 0.5000
3 Tb 0.3335 0.6665 0.0000
4 Tb 0.6665 0.3335 0.0000
5 Hf 0.3312 0.6688 0.5000
6 Hf 0.6688 0.3312 0.5000
7 Ru 0.1711 0.8289 0.2665
8 Ru 0.1711 0.8289 0.7335
9 Ru 0.5000 0.5000 0.2621
10 Ru 0.5000 0.5000 0.7379
11 Ru 0.8289 0.1711 0.2665
12 Ru 0.8289 0.1711 0.7335


No. 3
K2Tl2PbBr6: optimized geometry, GGA-PBE.

Summary:
DOS(E_F): 0.0 states/eV/f.u.
Energy: -3.08 eV/atom
Formation energy without anion corrections: -1.2037 eV per atom
Space group: C2/m

Cell lengths 8.0481, 8.0481, 8.1010 Å; angles 100.05, 100.05, 117.76 degrees
Sites, in units of the cell vectors:
1 K 0.1614 0.8386 0.0000
2 K 0.8386 0.1614 0.0000
3 Tl 0.3242 0.6758 0.5000
4 Tl 0.6758 0.3242 0.5000
5 Pb 0.5000 0.5000 0.0000
6 Br 0.1114 0.4303 0.7713
7 Br 0.2787 0.2787 0.2355
8 Br 0.4303 0.1114 0.7713
9 Br 0.5697 0.8886 0.2287
10 Br 0.7213 0.7213 0.7645
11 Br 0.8886 0.5697 0.2287


No. 4
Hf3Mg2ScN6: optimized geometry, GGA-PBE.

Summary:
DOS(E_F): 1.5 states/eV/f.u.
Energy: -9.06 eV/atom
Formation energy without anion corrections: -1.6142 eV per atom
Space group: C2/m

Cell lengths 7.1111, 7.1111, 6.3570 Å; angles 102.66, 102.66, 25.93 degrees
Sites, in units of the cell vectors:
1 Hf 0.0000 0.0000 0.0000
2 Hf 0.3316 0.3316 0.6695
3 Hf 0.6684 0.6684 0.3305
4 Mg 0.3321 0.3321 0.1638
5 Mg 0.6679 0.6679 0.8362
6 Sc 0.0000 0.0000 0.5000
7 N 0.1644 0.1644 0.0892
8 N 0.1683 0.1683 0.5765
9 N 0.4980 0.4980 0.7533
10 N 0.5020 0.5020 0.2467
11 N 0.8317 0.8317 0.4235
12 N 0.8356 0.8356 0.9108


No. 5
NaMgAgAu: optimized geometry, GGA-PBE.

Summary:
DOS(E_F): 0.8 states/eV/f.u.
Energy: -2.51 eV/atom
E_form: -247 meV/atom
Space group: F-43m

Cell lengths 4.7994, 4.7994, 4.7994 Å; angles 60.00, 60.00, 60.00 degrees
Sites, in units of the cell vectors:
1 Na 0.0000 0.0000 0.0000
2 Mg 0.5000 0.5000 0.5000
3 Ag 0.2500 0.2500 0.2500
4 Au 0.7500 0.7500 0.7500


No. 6
BaNb2Tl2S7: optimized geometry, GGA-PBE.

Summary:
DOS(E_F): 0.0 states/eV/f.u.
Energy: -5.56 eV/atom
Formation energy without anion corrections: -0.9148 eV per atom
Space group: R32

Cell lengths 10.9194, 10.9194, 10.9194 Å; angles 37.13, 37.13, 37.13 degrees
Sites, in units of the cell vectors:
1 Ba 0.0000 0.0000 0.0000
2 Nb 0.4225 0.4225 0.4225
3 Nb 0.5775 0.5775 0.5775
4 Tl 0.2056 0.2056 0.2056
5 Tl 0.7944 0.7944 0.7944
6 S 0.0797 0.4200 0.6949
7 S 0.3051 0.5800 0.9204
8 S 0.4200 0.6949 0.0796
9 S 0.5000 0.5000 0.5000
10 S 0.5800 0.9204 0.3051
11 S 0.6949 0.0796 0.4200
12 S 0.9204 0.3051 0.5800


No. 7
Pu3GaGe3: optimized geometry, GGA-PBE.

Summary:
DOS(E_F): 7.7 states/eV/f.u.
Energy: -8.48 eV/atom
E_form: 76 meV/atom
Space group: P6_3/m

Cell lengths 9.0718, 9.0718, 3.8388 Å; angles 90.00, 90.00, 120.00 degrees
Sites, in units of the cell vectors:
1 Pu 0.0553 0.5830 0.2500
2 Pu 0.4170 0.4723 0.2500
3 Pu 0.4723 0.0553 0.7500
4 Pu 0.5277 0.9447 0.2500
5 Pu 0.5830 0.5277 0.7500
6 Pu 0.9447 0.4170 0.7500
7 Ga 0.3333 0.6667 0.7500
8 Ga 0.6667 0.3333 0.2500
9 Ge 0.0538 0.2460 0.2500
10 Ge 0.1922 0.9462 0.2500
11 Ge 0.2460 0.1922 0.7500
12 Ge 0.7540 0.8078 0.2500
13 Ge 0.8078 0.0538 0.7500
14 Ge 0.9462 0.7540 0.7500


No. 8
Mg3W: optimized geometry, GGA-PBE.

Summary:
Relative energy among the computed polymorphs: 1 meV/atom
DOS(E_F): 2.0 states/eV/f.u.
Energy: -4.15 eV/atom
E_form: 285 meV/atom
Space group: Cmcm

Cell lengths 5.9542, 5.9542, 4.4961 Å; angles 90.00, 90.00, 74.38 degrees
Sites, in units of the cell vectors:
1 Mg 0.1228 0.3788 0.7500
2 Mg 0.1420 0.8580 0.7500
3 Mg 0.3788 0.1228 0.2500
4 Mg 0.6212 0.8772 0.7500
5 Mg 0.8580 0.1420 0.2500
6 Mg 0.8772 0.6212 0.2500
7 W 0.4035 0.5965 0.2500
8 W 0.5965 0.4035 0.7500


No. 9
AlBi: optimized geometry, GGA-PBE.

Summary:
DOS(E_F): 0.6 states/eV/f.u.
Energy: -3.64 eV/atom
E_form: 172 meV/atom
Space group: P1

Cell lengths 3.5859, 4.6821, 7.2580 Å; angles 86.55, 87.66, 67.52 degrees
Sites, in units of the cell vectors:
1 Al 0.0000 0.0000 0.0000
2 Al 0.3116 0.4034 0.8309
3 Bi 0.0447 0.9689 0.6006
4 Bi 0.7037 0.5610 0.1951


No. 10
NbInCuPd: optimized geometry, GGA-PBE.

Summary:
DOS(E_F): 2.4 states/eV/f.u.
Energy: -5.64 eV/atom
E_form: -114 meV/atom
Space group: F-43m

Cell lengths 4.5525, 4.5525, 4.5525 Å; angles 60.00, 60.00, 60.00 degrees
Sites, in units of the cell vectors:
1 Nb 0.0000 0.0000 0.0000
2 In 0.5000 0.5000 0.5000
3 Cu 0.2500 0.2500 0.2500
4 Pd 0.7500 0.7500 0.7500


No. 11
V2PbCl: optimized geometry, GGA-PBE.

Summary:
Relative energy among the computed polymorphs: 53 meV/atom
DOS(E_F): 7.7 states/eV/f.u.
Energy: -5.30 eV/atom
Formation energy without anion corrections: 0.6479 eV per atom
Space group: Fm-3m

Cell lengths 4.6331, 4.6331, 4.6331 Å; angles 60.00, 60.00, 60.00 degrees
Sites, in units of the cell vectors:
1 V 0.2500 0.2500 0.2500
2 V 0.7500 0.7500 0.7500
3 Pb 0.0000 0.0000 0.0000
4 Cl 0.5000 0.5000 0.5000


No. 12
RbBaLi2Sc: optimized geometry, GGA-PBE.

Summary:
DOS(E_F): 6.4 states/eV/f.u.
Energy: -1.50 eV/atom
E_form: 1111 meV/atom
Space group: P4/mmm

Cell lengths 5.7297, 5.7297, 6.4166 Å; angles 90.00, 90.00, 90.00 degrees
Sites, in units of the cell vectors:
1 Rb 0.0000 0.0000 0.0000
2 Ba 0.0000 0.0000 0.5000
3 Li 0.0000 0.5000 0.5000
4 Li 0.5000 0.0000 0.5000
5 Sc 0.5000 0.5000 0.0000


No. 13
BiTeI2O: optimized geometry, GGA-PBE.

Summary:
Relative energy among the computed polymorphs: 846 meV/atom
DOS(E_F): 20.6 states/eV/f.u.
Energy: -2.15 eV/atom
Formation energy without anion corrections: 0.8639 eV per atom
Space group: P4/mmm

Cell lengths 6.0560, 6.0560, 6.2333 Å; angles 90.00, 90.00, 90.00 degrees
Sites, in units of the cell vectors:
1 Bi 0.0000 0.0000 0.0000
2 Te 0.0000 0.0000 0.5000
3 I 0.0000 0.5000 0.0000
4 I 0.5000 0.0000 0.0000
5 O 0.5000 0.5000 0.5000


No. 14
Y2TlIrO8: optimized geometry, GGA-PBE.

Summary:
DOS(E_F): 4.1 states/eV/f.u.
Energy: -7.09 eV/atom
Formation energy without anion corrections: -1.7671 eV per atom
Space group: P2/m

Cell lengths 4.9362, 7.0795, 4.9402 Å; angles 90.00, 92.67, 90.00 degrees
Sites, in units of the cell vectors:
1 Y 0.0000 0.2458 0.0000
2 Y 0.0000 0.7542 0.0000
3 Tl 0.5000 0.5000 0.5000
4 Ir 0.5000 0.0000 0.5000
5 O 0.1986 0.5000 0.1971
6 O 0.2193 0.0000 0.2170
7 O 0.3144 0.1970 0.6838
8 O 0.3144 0.8030 0.6838
9 O 0.6856 0.1970 0.3162
10 O 0.6856 0.8030 0.3162
11 O 0.7807 0.0000 0.7830
12 O 0.8014 0.5000 0.8029


No. 15
Sc2PaTe4: optimized geometry, GGA-PBE.

Summary:
Relative energy among the computed polymorphs: 32 meV/atom
DOS(E_F): 8.7 states/eV/f.u.
Energy: -5.95 eV/atom
Formation energy without anion corrections: -0.9918 eV per atom
Space group: Cmcm

Cell lengths 7.1839, 7.1839, 14.3536 Å; angles 90.00, 90.00, 146.47 degrees
Sites, in units of the cell vectors:
1 Sc 0.1323 0.8677 0.5638
2 Sc 0.1323 0.8677 0.9362
3 Sc 0.8677 0.1323 0.0638
4 Sc 0.8677 0.1323 0.4362
5 Pa 0.3786 0.6214 0.7500
6 Pa 0.6214 0.3786 0.2500
7 Te 0.0490 0.9510 0.7500
8 Te 0.2276 0.7724 0.1197
9 Te 0.2276 0.7724 0.3803
10 Te 0.5000 0.5000 0.0000
11 Te 0.5000 0.5000 0.5000
12 Te 0.7724 0.2276 0.6197
13 Te 0.7724 0.2276 0.8803
14 Te 0.9510 0.0490 0.2500


No. 16
UTa5C4: optimized geometry, GGA-PBE.

Summary:
DOS(E_F): 5.4 states/eV/f.u.
Energy: -11.15 eV/atom
E_form: -405 meV/atom
Space group: C2/m

Cell lengths 7.1478, 7.1478, 6.5381 Å; angles 104.89, 104.89, 25.45 degrees
Sites, in units of the cell vectors:
1 U 0.0000 0.0000 0.0000
2 Ta 0.0000 0.0000 0.5000
3 Ta 0.3261 0.3261 0.6682
4 Ta 0.3332 0.3332 0.1566
5 Ta 0.6668 0.6668 0.8434
6 Ta 0.6739 0.6739 0.3318
7 C 0.1723 0.1723 0.0867
8 C 0.4948 0.4948 0.7307
9 C 0.5052 0.5052 0.2693
10 C 0.8277 0.8277 0.9133


No. 17
MnBeCo: optimized geometry, GGA-PBE.

Summary:
Relative energy among the computed polymorphs: 120 meV/atom
DOS(E_F): 2.9 states/eV/f.u.
Energy: -6.71 eV/atom
E_form: -38 meV/atom
Space group: Pm

Cell lengths 4.2898, 2.4163, 5.7977 Å; angles 90.00, 103.32, 90.00 degrees
Sites, in units of the cell vectors:
1 Mn 0.0000 0.0000 0.0000
2 Mn 0.2155 0.0000 0.6770
3 Be 0.4336 0.0000 0.3375
4 Be 0.9346 0.5000 0.3386
5 Co 0.5031 0.5000 0.0169
6 Co 0.7159 0.5000 0.6591


No. 18
CrSi2Hg: optimized geometry, GGA-PBE.

Summary:
DOS(E_F): 1.9 states/eV/f.u.
Energy: -4.63 eV/atom
Formation energy without anion corrections: 0.5630 eV per atom
Space group: Cmmm

Cell lengths 4.7375, 4.7375, 3.1400 Å; angles 90.00, 90.00, 105.27 degrees
Sites, in units of the cell vectors:
1 Cr 0.0000 0.0000 0.0000
2 Si 0.0000 0.5000 0.5000
3 Si 0.5000 0.0000 0.5000
4 Hg 0.5000 0.5000 0.0000


No. 19
NbPtNO2: optimized geometry, GGA-PBE.

Summary:
DOS(E_F): 3.8 states/eV/f.u.
Energy: -6.39 eV/atom
Formation energy without anion corrections: 0.4776 eV per atom
Space group: P4/mmm

Cell lengths 3.9693, 3.9693, 3.9408 Å; angles 90.00, 90.00, 90.00 degrees
Sites, in units of the cell vectors:
1 Nb 0.0000 0.0000 0.0000
2 Pt 0.5000 0.5000 0.5000
3 N 0.5000 0.5000 0.0000
4 O 0.0000 0.5000 0.5000
5 O 0.5000 0.0000 0.5000


No. 20
Dy4Tm5: optimized geometry, GGA-PBE.

Summary:
Relative energy among the computed polymorphs: 17 meV/atom
DOS(E_F): 12.8 states/eV/f.u.
Energy: -4.49 eV/atom
E_form: 40 meV/atom
Space group: Immm

Cell lengths 8.9570, 8.9570, 8.9570 Å; angles 156.97, 96.57, 88.01 degrees
Sites, in units of the cell vectors:
1 Dy 0.0455 0.1895 0.8560
2 Dy 0.3334 0.1895 0.1440
3 Dy 0.6666 0.8105 0.8560
4 Dy 0.9545 0.8105 0.1440
5 Tm 0.0000 0.5000 0.5000
6 Tm 0.2939 0.5000 0.7939
7 Tm 0.3743 0.8743 0.5000
8 Tm 0.6257 0.1257 0.5000
9 Tm 0.7061 0.5000 0.2061